Compound: CsTmFeS3
Source: OQMD via LeMat-Bulk
Functional: PBE
Structure: optimized geometry

Cell lengths 8.600, 8.600, 8.875 Å; angles 100.42, 100.42, 27.54 degrees
Fractional positions:
Cs1 0.157 0.157 0.060
Cs2 0.843 0.843 0.940
Tm1 0.161 0.161 0.563
Tm2 0.839 0.839 0.437
Fe1 0.496 0.496 0.265
Fe2 0.504 0.504 0.735
S1 0.000 0.000 0.500
S2 0.332 0.332 0.635
S3 0.355 0.355 0.248
S4 0.500 0.500 0.000
S5 0.645 0.645 0.752
S6 0.668 0.668 0.365

**Total DFT energy (no corrections)**: -0.3996 Ry per atom
**Theoretical density**: 5.06 g/cm³